Run a
This record from the Alexandria database describes an optimized crystal structure of Na3TlCr. The functional is PBE.

Lattice parameters (Å, degrees): 5.745 5.745 5.745 90.00 90.00 90.00
Fractional coordinates of all 5 atoms:
1 Na 0.000 0.000 0.500
2 Na 0.000 0.500 0.000
3 Na 0.500 0.000 0.000
4 Tl 0.500 0.500 0.500
5 Cr 0.000 0.000 0.000

Values from the calculation:
As for the space group: Pm-3m (221). The calculation puts the density of states at the Fermi level at 0.445 states/eV per atom.

Run b
This record from the Alexandria database describes an optimized crystal structure of Na3TlCr. The functional is PBE.

Lattice parameters (Å, degrees): 5.751 5.751 5.751 90.00 90.00 90.00
Fractional coordinates of all 5 atoms:
1 Na 0.000 0.000 0.500
2 Na 0.000 0.500 0.000
3 Na 0.500 0.000 0.000
4 Tl 0.000 0.000 0.000
5 Cr 0.500 0.500 0.500

Values from the calculation:
As for the space group: Pm-3m (221). The calculation puts the density of states at the Fermi level at 0.991 states/eV per atom.

Top of the stability list: run a, leading by 54.7 kJ/mol of atoms.